[1]
A plane-wave DFT calculation with PBE was carried out for HfScCo3 after structural relaxation.

Cell: 4.310 4.310 4.310 Å, 90.00 90.00 90.00°
Fractional positions:
Sc: 0.000 0.000 0.000
Co: 0.000 0.500 0.000
Co: 0.000 0.000 0.500
Co: 0.500 0.000 0.000
Hf: 0.500 0.500 0.500

Calculated values
electronic total energy = -0.24856 hartree per atom
ΔE to the lowest computed polymorph = 0.000 eV/atom
formation energy = 0.76 eV/atom



[2]
A plane-wave DFT calculation with PBE was carried out for CaErTm2Tl4 after structural relaxation.

Cell: 5.355 5.355 9.289 Å, 73.25 73.25 60.00°
Fractional positions:
Ca: 0.000 0.000 0.000
Er: 0.500 0.500 0.500
Tm: 0.749 0.749 0.754
Tm: 0.251 0.251 0.246
Tl: 0.377 0.377 0.870
Tl: 0.874 0.874 0.379
Tl: 0.126 0.126 0.621
Tl: 0.623 0.623 0.130

Calculated values
electronic total energy = -0.12671 hartree per atom
formation energy = -0.33 eV/atom



[3]
A plane-wave DFT calculation with PBE was carried out for LaTl2Zn after structural relaxation.

Cell: 5.782 5.782 5.782 Å, 130.74 130.74 72.23°
Fractional positions:
La: 0.750 0.250 0.500
Tl: 0.000 0.000 0.000
Tl: 0.500 0.500 0.000
Zn: 0.250 0.750 0.500

Calculated values
electronic total energy = -0.10650 hartree per atom
formation energy = -0.16 eV/atom



[4]
A plane-wave DFT calculation with PBE was carried out for Cs3U2Se5Cl2 after structural relaxation.

Cell: 5.542 5.542 14.884 Å, 100.73 100.73 90.00°
Fractional positions:
Cs: 0.184 0.184 0.367
Cs: 0.816 0.816 0.633
Cs: 0.000 0.000 0.000
U: 0.404 0.404 0.809
U: 0.596 0.596 0.191
Se: 0.598 0.098 0.195
Se: 0.402 0.902 0.805
Se: 0.098 0.598 0.195
Se: 0.902 0.402 0.805
Se: 0.500 0.500 0.000
Cl: 0.691 0.691 0.382
Cl: 0.309 0.309 0.618

Calculated values
ΔE_f (raw) = -1.44 eV/atom
electronic total energy = -0.19441 hartree per atom



[5]
A plane-wave DFT calculation with PBE was carried out for ScBe2Zn2 after structural relaxation.

Cell: 3.876 3.876 5.440 Å, 69.13 69.13 90.00°
Fractional positions:
Sc: 0.000 0.000 0.000
Be: 0.750 0.250 0.500
Be: 0.250 0.750 0.500
Zn: 0.373 0.373 0.254
Zn: 0.627 0.627 0.746

Calculated values
electronic total energy = -0.12266 hartree per atom
ΔE to the lowest computed polymorph = 0.000 eV/atom
formation energy = -0.07 eV/atom



[6]
A plane-wave DFT calculation with PBE was carried out for Ce6SnOs2 after structural relaxation.

Cell: 8.532 8.532 8.532 Å, 101.12 113.24 114.37°
Fractional positions:
Ce: 0.516 0.704 0.812
Ce: 0.484 0.296 0.188
Ce: 0.107 0.296 0.812
Ce: 0.893 0.704 0.188
Ce: 0.797 0.760 0.557
Ce: 0.203 0.240 0.443
Ce: 0.203 0.760 0.963
Ce: 0.797 0.240 0.037
Ce: 0.696 0.365 0.670
Ce: 0.304 0.635 0.330
Ce: 0.304 0.974 0.670
Ce: 0.696 0.026 0.330
Sn: 0.000 0.500 0.500
Sn: 0.000 0.000 0.000
Os: 0.500 0.364 0.864
Os: 0.500 0.636 0.136
Os: 0.666 0.000 0.666
Os: 0.334 0.000 0.334

Calculated values
electronic total energy = -0.26263 hartree per atom
ΔE to the lowest computed polymorph = 0.054 eV/atom
formation energy = -0.25 eV/atom



[7]
A plane-wave DFT calculation with PBE was carried out for RbBa2NaIr after structural relaxation.

Cell: 6.121 6.121 6.252 Å, 90.00 90.00 90.00°
Fractional positions:
Na: 0.000 0.000 0.500
Ir: 0.000 0.000 0.000
Ba: 0.000 0.500 0.000
Ba: 0.500 0.000 0.000
Rb: 0.500 0.500 0.500

Calculated values
electronic total energy = -0.10586 hartree per atom
ΔE to the lowest computed polymorph = 0.000 eV/atom
formation energy = 0.12 eV/atom



[8]
A plane-wave DFT calculation with PBE was carried out for KHSe2 after structural relaxation.

Cell: 6.702 6.055 6.053 Å, 70.73 94.74 85.26°
Fractional positions:
K: 0.516 0.870 0.356
K: 0.016 0.548 0.033
H: 0.301 0.337 0.687
H: 0.801 0.216 0.567
Se: 0.009 0.085 0.605
Se: 0.996 0.984 0.252
Se: 0.508 0.299 0.819
Se: 0.496 0.651 0.920

Calculated values
electronic total energy = -0.12167 hartree per atom
ΔE to the lowest computed polymorph = 0.000 eV/atom



[9]
A plane-wave DFT calculation with PBE was carried out for NaNdSnIr after structural relaxation.

Cell: 4.945 4.945 4.945 Å, 60.00 60.00 60.00°
Fractional positions:
Na: 0.500 0.500 0.500
Ir: 0.000 0.000 0.000
Nd: 0.250 0.250 0.250
Sn: 0.750 0.750 0.750

Calculated values
electronic total energy = -0.18712 hartree per atom
formation energy = -0.35 eV/atom



[10]
A plane-wave DFT calculation with PBE was carried out for Zr2Ga2Pt after structural relaxation.

Cell: 6.568 6.568 4.210 Å, 90.00 90.00 90.00°
Fractional positions:
Ga: 0.365 0.865 0.000
Ga: 0.865 0.635 0.000
Ga: 0.635 0.135 0.000
Ga: 0.135 0.365 0.000
Zr: 0.172 0.672 0.500
Zr: 0.672 0.828 0.500
Zr: 0.828 0.328 0.500
Zr: 0.328 0.172 0.500
Pt: 0.000 0.000 0.000
Pt: 0.500 0.500 0.000

Calculated values
electronic total energy = -0.24489 hartree per atom
ΔE to the lowest computed polymorph = 0.000 eV/atom
formation energy = -0.83 eV/atom



[11]
A plane-wave DFT calculation with PBE was carried out for ZrCdPN2 after structural relaxation.

Cell: 4.021 6.162 4.021 Å, 90.00 90.00 90.00°
Fractional positions:
P: 0.500 0.500 0.500
N: 0.000 0.000 0.500
N: 0.500 0.000 0.000
Zr: 0.000 0.500 0.000
Cd: 0.000 0.000 0.000

Calculated values
ΔE_f (raw) = 1.62 eV/atom
electronic total energy = -0.17210 hartree per atom



[12]
A plane-wave DFT calculation with PBE was carried out for CaNpGa2 after structural relaxation.

Cell: 3.176 3.176 8.786 Å, 90.00 90.00 90.00°
Fractional positions:
Np: 0.500 0.500 0.000
Ca: 0.500 0.500 0.500
Ga: 0.000 0.000 0.754
Ga: 0.000 0.000 0.246

Calculated values
electronic total energy = -0.19931 hartree per atom
formation energy = -0.17 eV/atom